The following is a PBE-GGA calculation of a geometry-optimized CrSe2S structure, from Alexandria.

a = 6.151 Å, b = 6.151 Å, c = 9.674 Å
α = 90.00°, β = 90.00°, γ = 90.00°
Space group I-42d (No. 122)
One atom of each set of equivalent atoms:
1 Cr 0.000 0.000 0.000
2 Se 0.194 0.250 0.125
3 S 0.000 0.000 0.500

Computed properties:
E_form (uncorrected) ... 0.3569 eV/atom
Calculated volume ... 22.9 Å³ per atom
Raw total energy ... -4.823 eV per atom

***

The following is a PBE-GGA calculation of a geometry-optimized Tb8SmSc6 structure, from Alexandria.

a = 9.3966 Å, b = 9.3966 Å, c = 17.2962 Å
α = 90.00°, β = 90.00°, γ = 120.00°
Space group R-3 (No. 148, hexagonal axes)
One atom of each set of equivalent atoms:
1 Tb 0.0000 0.0000 0.0913
2 Tb 0.0524 0.8109 0.6750
3 Sm 0.0000 0.0000 0.5000
4 Sc 0.0306 0.7379 0.1795

Computed properties:
Calculated volume ... 29.4 Å³ per atom
Raw total energy ... -5.130 eV per atom

***

The following is a PBE-GGA calculation of a geometry-optimized Th2CoGeC structure, from Alexandria.

a = 6.595 Å, b = 3.950 Å, c = 8.410 Å
α = 90.00°, β = 112.87°, γ = 90.00°
Space group P2_1/m (No. 11)
One atom of each set of equivalent atoms:
1 Th 0.225 0.250 0.404
2 Th 0.226 0.250 0.974
3 Co 0.480 0.750 0.262
4 Ge 0.294 0.750 0.712
5 C 0.174 0.750 0.184

Computed properties:
Calculated volume ... 20.2 Å³ per atom
Raw total energy ... -7.683 eV per atom

***

The following is a PBE-GGA calculation of a geometry-optimized Eu3Ge structure, from Alexandria.

a = 4.919 Å, b = 4.919 Å, c = 4.919 Å
α = 90.00°, β = 90.00°, γ = 90.00°
Space group Pm-3m (No. 221)
One atom of each set of equivalent atoms:
1 Eu 0.000 0.000 0.500
2 Ge 0.500 0.500 0.500

Computed properties:
Calculated volume ... 29.8 Å³ per atom
Raw total energy ... -9.168 eV per atom